! K2Sn3Pt5 (GGA-PBE, optimized geometry); values from VASP
&SYSTEM
  ibrav = 0, nat = 20, ntyp = 3
/
ATOMIC_SPECIES
K 39.10 K.upf
Sn 118.71 Sn.upf
Pt 195.08 Pt.upf
ATOMIC_POSITIONS angstrom
K 1.7192 1.2087 0.9595
K 5.1732 3.7438 3.2244
K 8.6140 6.1395 4.9701
K 12.0680 8.6746 7.2349
Sn 5.1669 5.3043 6.2599
Sn 3.4329 0.8571 4.0932
Sn 8.6184 7.9413 7.8476
Sn 5.1689 1.9420 0.3469
Sn 10.3544 9.0261 4.1012
Sn 8.6204 4.5789 1.9345
Pt 3.7417 6.3615 1.9079
Pt 5.1638 6.9745 4.1511
Pt 7.0123 5.7984 8.1941
Pt 5.1688 1.6607 5.9805
Pt 6.6004 6.3596 1.9085
Pt 7.1868 3.5237 6.2859
Pt 8.6185 8.2226 2.2140
Pt 6.7749 4.0848 0.0004
Pt 8.6235 2.9087 4.0434
Pt 10.0455 3.5218 6.2866
CELL_PARAMETERS angstrom
6.8986 0.0000 0.0000
3.4397 8.1677 0.0000
3.4489 1.7156 8.1945
! - ΔE_f: -0.39 eV/atom
! - E: -4.826 eV/atom
! - Symmetry: P-1 (2)
! - Calculated volume: 462 Å³/cell

! Th2BeHg (GGA-PBE, optimized geometry); values from VASP
&SYSTEM
  ibrav = 0, nat = 4, ntyp = 3
/
ATOMIC_SPECIES
Th 232.04 Th.upf
Be 9.01 Be.upf
Hg 200.59 Hg.upf
ATOMIC_POSITIONS angstrom
Th 0.0000 0.0000 1.8238
Th 0.0000 0.0000 6.6369
Be 1.6965 1.6965 0.0000
Hg 1.6965 1.6965 4.2304
CELL_PARAMETERS angstrom
3.3930 0.0000 0.0000
0.0000 3.3930 0.0000
0.0000 0.0000 8.4607
! - ΔE_f: -0.01 eV/atom
! - E: -4.722 eV/atom
! - Symmetry: P4/mmm (123)
! - Energy above the lowest structure with this stoichiometry: 0.000 kcal/mol of atoms
! - Calculated volume: 97 Å³/cell

! Dy2ErSnC (GGA-PBE, optimized geometry); values from VASP
&SYSTEM
  ibrav = 0, nat = 5, ntyp = 4
/
ATOMIC_SPECIES
Dy 162.50 Dy.upf
Er 167.26 Er.upf
Sn 118.71 Sn.upf
C 12.01 C.upf
ATOMIC_POSITIONS angstrom
Dy 0.0000 2.4454 0.0000
Dy 2.4454 0.0000 0.0000
Er 0.0000 0.0000 2.4197
Sn 2.4454 2.4454 2.4197
C 0.0000 0.0000 0.0000
CELL_PARAMETERS angstrom
4.8908 0.0000 0.0000
0.0000 4.8908 0.0000
0.0000 0.0000 4.8393
! - ΔE_f: -0.64 eV/atom
! - E: -6.037 eV/atom
! - Symmetry: P4/mmm (123)
! - Calculated volume: 116 Å³/cell

! RbLiTaOs2 (GGA-PBE, optimized geometry); values from VASP
&SYSTEM
  ibrav = 0, nat = 5, ntyp = 4
/
ATOMIC_SPECIES
Rb 85.47 Rb.upf
Li 6.94 Li.upf
Ta 180.95 Ta.upf
Os 190.23 Os.upf
ATOMIC_POSITIONS angstrom
Rb 0.0000 0.0000 0.0000
Li 2.3855 2.3855 2.3860
Ta 0.0000 0.0000 2.3860
Os 0.0000 2.3855 0.0000
Os 2.3855 0.0000 0.0000
CELL_PARAMETERS angstrom
4.7711 0.0000 0.0000
0.0000 4.7711 0.0000
0.0000 0.0000 4.7721
! - ΔE_f: 3.52 eV/atom
! - E: -3.923 eV/atom
! - Symmetry: P4/mmm (123)
! - Calculated volume: 109 Å³/cell

! Ac2In9Ag6 (GGA-PBE, optimized geometry); values from VASP
&SYSTEM
  ibrav = 0, nat = 17, ntyp = 3
/
ATOMIC_SPECIES
Ac 227.00 Ac.upf
In 114.82 In.upf
Ag 107.87 Ag.upf
ATOMIC_POSITIONS angstrom
Ac 0.0000 0.0000 2.3997
Ac 0.0000 0.0000 11.8106
In -1.5135 2.6215 0.0000
In -1.5135 2.6215 4.7849
In -1.5135 2.6215 9.4254
In 3.0270 0.0000 0.0000
In 3.0270 0.0000 4.7849
In 3.0270 0.0000 9.4254
In 1.5135 2.6215 0.0000
In 1.5135 2.6215 4.7849
In 1.5135 2.6215 9.4254
Ag 0.0000 3.4953 2.3801
Ag 0.0000 3.4953 7.1052
Ag 0.0000 3.4953 11.8302
Ag 3.0270 1.7476 2.3801
Ag 3.0270 1.7476 7.1052
Ag 3.0270 1.7476 11.8302
CELL_PARAMETERS angstrom
6.0540 0.0000 0.0000
-3.0270 5.2429 0.0000
0.0000 0.0000 14.2103
! - ΔE_f: -0.11 eV/atom
! - E: -3.052 eV/atom
! - Symmetry: P6/mmm (191)
! - Calculated volume: 451 Å³/cell

! Y4PdI5 (GGA-PBE, optimized geometry); values from VASP
&SYSTEM
  ibrav = 0, nat = 10, ntyp = 3
/
ATOMIC_SPECIES
Y 88.91 Y.upf
Pd 106.42 Pd.upf
I 126.90 I.upf
ATOMIC_POSITIONS angstrom
Y -0.3784 0.0000 1.8054
Y 5.1442 0.0000 8.0780
Y 12.4388 0.0000 0.6571
Y 17.9614 0.0000 6.9297
Pd 9.7534 0.0000 0.0000
I 2.6206 0.0000 2.9947
I 1.8734 0.0000 7.2620
I 8.7915 0.0000 4.3675
I 15.7096 0.0000 1.4730
I 14.9624 0.0000 5.7404
CELL_PARAMETERS angstrom
9.7534 -2.0776 0.0000
9.7534 2.0776 0.0000
-1.9239 0.0000 8.7351
! - E: -4.994 eV/atom
! - Symmetry: C2/m (12)
! - Calculated volume: 354 Å³/cell